Pm2MoRhO8: relaxed, PBE+U.

The structure belongs to space group C2/m (No. 12); the cell edges are 6.685, 7.024 and 6.832 Å and the angles 90.00°, 90.23° and 90.00°. Symmetry generates all atoms from Pm at (0.066, 0.000, 0.252), Mo at (0.000, 0.500, 0.000), Rh at (0.000, 0.500, 0.500), O at (0.044, 0.327, 0.751), O at (0.220, 0.000, 0.957) and O at (0.223, 0.000, 0.547).

The total magnetization comes out at 6.0 Bohr magnetons per cell. The total energy is -7.298 eV per atom.